VASP calculation (SCAN) on a crystal of Cs2RbFeC6N6 relaxed with PBEsol.

Results
symmetry: P2_1/c
raw total energy: -14.6363 eV/atom
ΔE_f (raw): -0.21 eV per atom

Geometry as POSCAR:
```
Cs2RbFeC6N6
1.0
7.717 0.000 0.012
0.000 8.189 0.000
0.106 0.000 11.107
Cs Rb Fe C N
4 2 2 12 12
direct
0.474 0.927 0.247
0.026 0.427 0.253
0.526 0.073 0.753
0.974 0.573 0.747
0.000 0.000 0.500
0.500 0.500 0.000
0.000 0.000 0.000
0.500 0.500 0.500
0.916 0.031 0.158
0.584 0.531 0.342
0.084 0.969 0.842
0.416 0.469 0.658
0.199 0.122 0.037
0.301 0.622 0.463
0.801 0.878 0.963
0.699 0.378 0.537
0.884 0.191 0.951
0.616 0.691 0.549
0.116 0.809 0.049
0.384 0.309 0.451
0.863 0.054 0.256
0.637 0.554 0.244
0.137 0.946 0.744
0.363 0.446 0.756
0.324 0.196 0.063
0.176 0.696 0.437
0.676 0.804 0.937
0.824 0.304 0.563
0.808 0.308 0.919
0.692 0.808 0.581
0.192 0.692 0.081
0.308 0.192 0.419
```



VASP calculation (SCAN) on a crystal of CsTiGaC2 relaxed with PBEsol.

Results
symmetry: P4/mmm
raw total energy: -16.8332 eV/atom
D(E_F): 1.8 states/eV per cell
formation energy from the elements: 6.221 eV per formula unit

Geometry as POSCAR:
```
CsTiGaC2
1.0
4.273 0.000 0.000
0.000 4.273 0.000
0.000 0.000 5.089
Cs C Ga Ti
1 2 1 1
direct
0.500 0.500 0.500
0.000 0.500 0.000
0.500 0.000 0.000
0.000 0.000 0.500
0.000 0.000 0.000
```



VASP calculation (SCAN) on a crystal of CsGeC2 relaxed with PBEsol.

Results
symmetry: I4_1/amd
raw total energy: -17.7868 eV/atom
D(E_F): 1.7 states/eV per cell
formation energy from the elements: 5.951 eV per formula unit

Geometry as POSCAR:
```
CsGeC2
1.0
5.225 0.000 0.000
0.000 5.225 0.000
-2.613 -2.613 5.626
Cs Ge C
2 2 4
direct
0.000 0.000 0.000
0.250 0.750 0.500
0.500 0.500 0.000
0.750 0.250 0.500
0.625 0.375 0.750
0.125 0.375 0.750
0.625 0.875 0.250
0.625 0.375 0.250
```